1.
This record from Alexandria via LeMat-Bulk describes a relaxed SiSn2P crystal. The functional is PBE.

Cell lengths 4.926, 4.926, 4.926 Å; angles 60.00, 60.00, 60.00 degrees
Atoms (fractional coordinates):
Sn 0.250 0.250 0.250
Sn 0.750 0.750 0.750
P 0.500 0.500 0.500
Si 0.000 0.000 0.000

space group	Fm-3m (225)

2.
This record from Alexandria via LeMat-Bulk describes a relaxed Si3SnP crystal. The functional is PBE.

Cell lengths 4.632, 4.632, 4.632 Å; angles 90.00, 90.00, 90.00 degrees
Atoms (fractional coordinates):
Sn 0.500 0.500 0.500
Si 0.000 0.000 0.500
Si 0.000 0.500 0.000
Si 0.500 0.000 0.000
P 0.000 0.000 0.000

space group	Pm-3m (221)

3.
This record from Alexandria via LeMat-Bulk describes a relaxed Si3SnP crystal. The functional is PBE.

Cell lengths 5.089, 5.089, 5.089 Å; angles 90.00, 90.00, 90.00 degrees
Atoms (fractional coordinates):
P 0.500 0.500 0.500
Si 0.000 0.500 0.000
Si 0.000 0.000 0.500
Si 0.500 0.000 0.000
Sn 0.000 0.000 0.000

space group	Pm-3m (221)

4.
This record from Alexandria via LeMat-Bulk describes a relaxed SiSn2P crystal. The functional is PBE.

Cell lengths 6.057, 6.057, 7.563 Å; angles 66.40, 66.40, 90.00 degrees
Atoms (fractional coordinates):
Si 0.250 0.750 0.500
Si 0.500 0.500 0.000
Sn 0.375 0.378 0.750
Sn 0.128 0.625 0.250
Sn 0.875 0.872 0.750
Sn 0.622 0.125 0.250
P 0.000 0.000 0.000
P 0.750 0.250 0.500

space group	I-42d (122)

| no. | raw total energy (eV per atom) |
| --- | --- |
| 1 | -4.27 |
| 2 | -4.46 |
| 3 | -3.55 |
| 4 | -4.50 |